10
Lattice="-1.087 -0.387 3.396 1.122 -5.983 -2.218 8.064 0.533 2.643" Properties=species:S:1:pos:R:3 comment="Zr3RhC, relaxed, DFT GGA-PBE" de_polymorph_mev_per_atom=396 space_group="P2_1/m (11)" formation_enthalpy_0k_kj_per_mol_atoms=-26.3 energy_ev_per_cell=-87.16 pbc="T T T"
Zr 2.126 -4.041 1.168
Zr -0.183 -1.616 2.598
Zr 5.260 -4.422 0.233
Zr 5.973 -1.797 2.654
Zr 2.839 -1.416 3.589
Zr 8.282 -4.222 1.223
C 6.631 -2.822 0.853
C 1.468 -3.016 2.968
Rh 6.353 -5.857 2.311
Rh 1.745 0.019 1.510